(1)
A crystal of SrAg2Sb relaxed with PBEsol. Source: the Alexandria database, functional SCAN.

## Properties
ΔE_f (raw)	-1.3	eV per formula unit
E	-30.89	eV/atom
M_tot	0.000	Bohr magnetons per cell

Unit cell a=4.509 b=4.727 c=5.105 alpha=90.00 beta=99.81 gamma=90.00
Space group Pm (No. 6)
Asymmetric unit:
Sr (0.000, 0.000, 0.000) [1 per cell]
Ag (0.512, 0.000, 0.499) [1 per cell]
Ag (0.614, 0.500, 0.264) [1 per cell]
Sb (0.392, 0.500, 0.737) [1 per cell]



(2)
A crystal of Rb3LiS relaxed with PBEsol. Source: the Alexandria database, functional SCAN.

## Properties
ΔE_f (raw)	-2.7	eV per formula unit
E	-15.40	eV/atom
M_tot	0.000	Bohr magnetons per cell

Unit cell a=6.402 b=6.402 c=6.402 alpha=90.00 beta=90.00 gamma=90.00
Space group Pm-3m (No. 221)
Asymmetric unit:
Rb (0.000, 0.000, 0.500) [3 per cell]
Li (0.500, 0.500, 0.500) [1 per cell]
S (0.000, 0.000, 0.000) [1 per cell]



Among the records above, which one has the lowest ΔE_f (raw)?
Rb3LiS



The lowest ΔE_f (raw) belongs to which entry?
Rb3LiS